No. 1
The following is a DFT calculation (PBE-GGA) of an optimized crystal structure of Tb10Ge3Bi3.

The energy of formation comes out at -725 meV/atom.

The space group is P-62m (No. 189) and the conventional cell measures 8.8958, 8.8958 and 6.4427 Å, with angles of 90.00, 90.00 and 120.00 degrees. The distinct sites, in fractional coordinates, are Tb at (0.0000, 0.2404, 0.0000), Tb at (0.0000, 0.7571, 0.5000), Tb at (0.3333, 0.6667, 0.2615), Ge at (0.0000, 0.3880, 0.5000) and Bi at (0.0000, 0.6041, 0.0000).

***

No. 2
The following is a DFT calculation (PBE-GGA) of an optimized crystal structure of Tb5Ge2Bi.

The energy of formation comes out at -736 meV/atom.

The space group is I4/mcm (No. 140) and the conventional cell measures 7.966, 7.966 and 13.616 Å, with angles of 90.00, 90.00 and 90.00 degrees. The distinct sites, in fractional coordinates, are Tb at (0.000, 0.000, 0.000), Tb at (0.154, 0.346, 0.140), Ge at (0.150, 0.350, 0.500) and Bi at (0.000, 0.000, 0.250).

***

No. 3
The following is a DFT calculation (PBE-GGA) of an optimized crystal structure of Tb3GeBi.

The energy of formation comes out at -671 meV/atom.

The space group is P-1 (No. 2) and the conventional cell measures 6.312, 6.401 and 7.826 Å, with angles of 74.01, 72.86 and 74.00 degrees. The distinct sites, in fractional coordinates, are Tb at (0.136, 0.389, 0.266), Tb at (0.280, 0.936, 0.957), Tb at (0.361, 0.825, 0.463), Ge at (0.049, 0.151, 0.663) and Bi at (0.361, 0.458, 0.833).

***

No. 4
The following is a DFT calculation (PBE-GGA) of an optimized crystal structure of Tb6GeBi2.

The energy of formation comes out at -221 meV/atom.

The space group is P4_2/mnm (No. 136) and the conventional cell measures 7.015, 7.015 and 13.332 Å, with angles of 90.00, 90.00 and 90.00 degrees. The distinct sites, in fractional coordinates, are Tb at (0.197, 0.197, 0.151), Tb at (0.216, 0.216, 0.500), Ge at (0.000, 0.000, 0.000) and Bi at (0.000, 0.000, 0.330).

***

| no. | magnetization (μB per atom) |
| --- | --- |
| 1 | 0.000 |
| 2 | 0.155 |
| 3 | 0.000 |
| 4 | 0.234 |